# 1
This record from Alexandria via LeMat-Bulk describes a relaxed Cd2CuHgH crystal. The functional is GGA-PBE.

The calculation puts the density of states at the Fermi level at 1.4 states/eV per cell. The value obtained for the uncorrected energy is -8.57 eV for the cell shown. For the magnetic moment, the calculation gives 0.0 μB per cell.

It has space group P4/mmm (No. 123), with a = 5.527 Å, b = 5.527 Å, c = 3.212 Å, α = 90.00°, β = 90.00° and γ = 90.00°. Symmetry generates all atoms from Cd at (0.000, 0.500, 0.000), Cu at (0.000, 0.000, 0.000), Hg at (0.500, 0.500, 0.500) and H at (0.000, 0.000, 0.500).

---

# 2
This record from Alexandria via LeMat-Bulk describes a relaxed CdIn2CuH crystal. The functional is GGA-PBE.

The calculation puts the density of states at the Fermi level at 1.9 states/eV per cell. The value obtained for the uncorrected energy is -9.47 eV for the cell shown. For the magnetic moment, the calculation gives 0.0 μB per cell.

It has space group P4/mmm (No. 123), with a = 5.601 Å, b = 5.601 Å, c = 4.898 Å, α = 90.00°, β = 90.00° and γ = 90.00°. Symmetry generates all atoms from Cd at (0.000, 0.000, 0.000), In at (0.000, 0.500, 0.000), Cu at (0.000, 0.000, 0.500) and H at (0.500, 0.500, 0.500).

---

# 3
This record from Alexandria via LeMat-Bulk describes a relaxed CdIn2CuH crystal. The functional is GGA-PBE.

The calculation puts the density of states at the Fermi level at 1.9 states/eV per cell. The value obtained for the uncorrected energy is -12.90 eV for the cell shown. For the magnetic moment, the calculation gives 0.0 μB per cell.

It has space group P4/mmm (No. 123), with a = 5.546 Å, b = 5.546 Å, c = 3.230 Å, α = 90.00°, β = 90.00° and γ = 90.00°. Symmetry generates all atoms from Cd at (0.000, 0.000, 0.000), In at (0.000, 0.500, 0.500), Cu at (0.500, 0.500, 0.500) and H at (0.500, 0.500, 0.000).

---

# 4
This record from Alexandria via LeMat-Bulk describes a relaxed CdCu2HIr crystal. The functional is GGA-PBE.

The calculation puts the density of states at the Fermi level at 0.9 states/eV per cell. The value obtained for the uncorrected energy is -21.04 eV for the cell shown. For the magnetic moment, the calculation gives 0.0 μB per cell.

It has space group P4/mmm (No. 123), with a = 4.037 Å, b = 4.037 Å, c = 3.739 Å, α = 90.00°, β = 90.00° and γ = 90.00°. Symmetry generates all atoms from Cd at (0.000, 0.000, 0.000), Cu at (0.000, 0.500, 0.500), H at (0.500, 0.500, 0.500) and Ir at (0.500, 0.500, 0.000).

---

# 5
This record from Alexandria via LeMat-Bulk describes a relaxed CdCuH6Ir crystal. The functional is GGA-PBE.

The value obtained for the uncorrected energy is -34.09 eV for the cell shown. For the magnetic moment, the calculation gives 0.0 μB per cell.

It has space group P1 (No. 1), with a = 4.668 Å, b = 4.676 Å, c = 5.151 Å, α = 99.77°, β = 100.08° and γ = 115.03°. Symmetry generates all atoms from Cd at (0.000, 0.000, 0.000), Cu at (0.566, 0.439, 0.503), H at (0.172, 0.433, 0.433), H at (0.269, 0.132, 0.680), H at (0.568, 0.831, 0.563), H at (0.611, 0.108, 0.271), H at (0.876, 0.737, 0.323), H at (0.897, 0.393, 0.729) and Ir at (0.910, 0.094, 0.500).

---

# 6
This record from Alexandria via LeMat-Bulk describes a relaxed K2CdCu2H6 crystal. The functional is GGA-PBE.

The calculation puts the density of states at the Fermi level at 1.3 states/eV per cell. The value obtained for the uncorrected energy is -62.82 eV for the cell shown. For the magnetic moment, the calculation gives 0.0 μB per cell.

It has space group C2/m (No. 12), with a = 9.818 Å, b = 5.628 Å, c = 6.209 Å, α = 90.00°, β = 117.83° and γ = 90.00°. Symmetry generates all atoms from K at (0.221, 0.000, 0.173), Cd at (0.000, 0.000, 0.500), Cu at (0.073, 0.500, 0.241), H at (0.007, 0.249, 0.754) and H at (0.244, 0.000, 0.693).

---

# 7
This record from Alexandria via LeMat-Bulk describes a relaxed La2CdCuH crystal. The functional is GGA-PBE.

The calculation puts the density of states at the Fermi level at 3.6 states/eV per cell. The value obtained for the uncorrected energy is -19.52 eV for the cell shown. For the magnetic moment, the calculation gives 0.3 μB per cell.

It has space group P4/mmm (No. 123), with a = 5.245 Å, b = 5.245 Å, c = 4.020 Å, α = 90.00°, β = 90.00° and γ = 90.00°. Symmetry generates all atoms from La at (0.000, 0.500, 0.000), Cd at (0.000, 0.000, 0.500), Cu at (0.500, 0.500, 0.500) and H at (0.500, 0.500, 0.000).

---

# 8
This record from Alexandria via LeMat-Bulk describes a relaxed La2CdCuH crystal. The functional is GGA-PBE.

The calculation puts the density of states at the Fermi level at 3.8 states/eV per cell. The value obtained for the uncorrected energy is -19.10 eV for the cell shown. For the magnetic moment, the calculation gives 0.0 μB per cell.

It has space group P4/mmm (No. 123), with a = 5.038 Å, b = 5.038 Å, c = 4.370 Å, α = 90.00°, β = 90.00° and γ = 90.00°. Symmetry generates all atoms from La at (0.000, 0.500, 0.000), Cd at (0.000, 0.000, 0.500), Cu at (0.500, 0.500, 0.500) and H at (0.000, 0.000, 0.000).

---

- The highest uncorrected energy belongs to which entry?
  Cd2CuHgH

---

- Among the records above, which one has the highest magnetic moment?
  number 7

---

- The lowest uncorrected energy belongs to which entry?
  K2CdCu2H6

---

- Which formula does entry 6 have?
  K2CdCu2H6